Entry 1:
Pm4Er8Tm3 | the Alexandria database | PBE-GGA | optimized geometry; volume = 32.90 Å³ per atom; final energy = -4.22 eV/atom; energy of formation = 0.38 eV/atom
1.0
-4.437 4.717 1.673
5.134 -2.527 7.267
7.655 3.710 -3.632
Er Tm Pm
8 3 4
Direct
0.500 0.745 0.255 Er
0.997 0.730 0.730 Er
0.480 0.733 0.733 Er
0.000 0.637 0.363 Er
0.003 0.270 0.270 Er
0.000 0.363 0.637 Er
0.500 0.255 0.745 Er
0.520 0.267 0.267 Er
0.500 0.000 0.500 Tm
0.500 0.500 0.000 Tm
0.500 0.500 0.500 Tm
0.000 0.000 0.500 Pm
0.000 0.000 0.000 Pm
0.500 0.000 0.000 Pm
0.000 0.500 0.000 Pm


Entry 2:
CaAc2Be | the Alexandria database | PBE-GGA | optimized geometry; volume = 39.68 Å³ per atom; final energy = -2.69 eV/atom; energy of formation = 0.80 eV/atom
1.0
-2.040 -2.091 2.458
1.555 -3.079 1.636
3.969 5.407 10.859
Ac Be Ca
2 1 1
Direct
0.919 0.919 0.244 Ac
0.081 0.081 0.756 Ac
0.000 0.000 0.000 Be
0.500 0.500 0.500 Ca


Entry 3:
TiNb2Tc4 | the Alexandria database | PBE-GGA | optimized geometry; volume = 17.08 Å³ per atom; final energy = -9.74 eV/atom; energy of formation = 0.19 eV/atom
1.0
0.137 -4.046 -3.537
4.989 1.181 1.617
-2.912 -1.423 4.289
Tc Nb Ti
4 2 1
Direct
0.000 0.000 0.500 Tc
0.000 0.500 0.000 Tc
0.500 0.500 0.500 Tc
0.500 0.000 0.000 Tc
0.500 0.500 0.000 Nb
0.500 0.000 0.500 Nb
0.000 0.000 0.000 Ti


Entry 4:
ScMnOs2 | the Alexandria database | PBE-GGA | optimized geometry; volume = 15.08 Å³ per atom; final energy = -9.46 eV/atom; energy of formation = 0.03 eV/atom
1.0
3.022 0.000 0.000
0.000 4.536 0.000
0.000 0.000 4.399
Sc Os Mn
1 2 1
Direct
0.500 0.000 0.500 Sc
0.000 0.000 0.000 Os
0.500 0.500 0.000 Os
0.000 0.500 0.500 Mn


Entry 5:
MgTl3Tc | the Alexandria database | PBE-GGA | optimized geometry; volume = 30.53 Å³ per atom; final energy = -3.28 eV/atom; energy of formation = 0.53 eV/atom
1.0
-4.890 0.338 2.131
1.351 -3.637 3.676
1.682 3.902 3.242
Tl Tc Mg
3 1 1
Direct
0.000 0.000 0.500 Tl
0.000 0.500 0.000 Tl
0.500 0.000 0.000 Tl
0.000 0.000 0.000 Tc
0.500 0.500 0.500 Mg


Entry 6:
AlZnRu2 | the Alexandria database | PBE-GGA | optimized geometry; volume = 14.16 Å³ per atom; final energy = -5.99 eV/atom; energy of formation = -0.10 eV/atom
1.0
4.964 -0.002 -0.004
1.959 4.561 0.004
-2.857 -3.198 2.501
Al Zn Ru
1 1 2
Direct
0.250 0.750 0.500 Al
0.750 0.250 0.500 Zn
0.491 0.491 0.000 Ru
0.009 0.009 0.000 Ru